SrSn2Au3 | GGA-PBE | relaxed

The structure in POSCAR format:
```
SrSn2Au3
1.0
-0.141 -3.484 -3.480
7.666 6.072 -2.903
1.076 -4.789 4.750
Sr Sn Au
2 4 6
Cartesian
6.703 -2.873 -0.882 Sr
1.898 0.672 -0.750 Sr
8.180 0.631 -0.964 Sn
0.421 -2.832 -0.669 Sn
4.286 -0.453 -3.207 Sn
4.315 -1.747 1.574 Sn
5.148 0.090 -0.299 Au
7.124 -0.569 -3.206 Au
2.828 -4.264 0.668 Au
5.772 2.063 -2.300 Au
1.477 -1.631 1.573 Au
3.453 -2.291 -1.333 Au
```

Calculated values
Space group: C2/m
Calculated total energy (eV/atom): -3.72
Calculated formation energy (eV per atom): -0.4692


ReSi2Ir | GGA-PBE | relaxed

The structure in POSCAR format:
```
ReSi2Ir
1.0
-0.140 -2.122 2.363
2.558 -1.477 -1.175
3.258 3.200 3.068
Ir Re Si
1 1 2
Cartesian
1.447 1.421 1.362 Ir
3.838 0.782 3.069 Re
3.232 3.174 3.043 Si
2.047 -0.976 1.383 Si
```

Calculated values
Space group: P4mm
Calculated total energy (eV/atom): -8.33
Uncorrected formation energy (eV per atom): -0.2890
Polymorph energy (0 for the lowest one) (meV/atom): 94


La2Nd3Sn3 | GGA-PBE | relaxed

The structure in POSCAR format:
```
La2Nd3Sn3
1.0
6.891 0.000 0.000
0.000 9.403 0.000
0.000 -4.701 8.143
La Nd Sn
4 6 6
Cartesian
0.000 0.000 5.429 La
3.445 4.701 2.714 La
0.000 4.701 2.714 La
3.445 0.000 5.429 La
5.168 2.277 0.000 Nd
5.168 3.563 6.171 Nd
5.168 -1.139 1.972 Nd
1.723 7.126 0.000 Nd
1.723 1.139 1.972 Nd
1.723 -3.563 6.171 Nd
5.168 5.733 0.000 Sn
5.168 1.835 3.178 Sn
5.168 -2.866 4.965 Sn
1.723 3.670 0.000 Sn
1.723 2.866 4.965 Sn
1.723 -1.835 3.178 Sn
```

Calculated values
Space group: P6_3/mcm
Calculated total energy (eV/atom): -5.21
Calculated formation energy (eV per atom): -0.6867


Nd2MgGa3 | GGA-PBE | relaxed

The structure in POSCAR format:
```
Nd2MgGa3
1.0
0.740 -5.599 -1.948
0.355 -0.770 5.914
-8.406 2.034 -1.660
Nd Mg Ga
4 2 6
Cartesian
-3.751 -0.960 3.118 Nd
0.824 -4.794 2.985 Nd
-3.559 -3.375 -0.813 Nd
0.271 -1.575 0.981 Nd
-5.229 -0.765 0.215 Mg
-2.082 -3.569 2.091 Mg
-6.474 -2.192 -1.732 Ga
-0.641 -4.603 0.034 Ga
-0.837 -2.143 4.038 Ga
-6.670 0.268 2.272 Ga
-4.743 -3.959 2.200 Ga
-2.568 -0.376 0.105 Ga
```

Calculated values
Space group: Fmmm
Calculated total energy (eV/atom): -3.90
Calculated formation energy (eV per atom): -0.5328


Na4Tl2Cd2In | GGA-PBE | relaxed

The structure in POSCAR format:
```
Na4Tl2Cd2In
1.0
-2.510 3.830 3.940
-5.826 -4.385 4.221
6.974 -3.808 -1.136
Na Tl Cd In
4 2 2 1
Cartesian
0.523 -4.957 4.103 Na
-3.171 -1.896 4.996 Na
-1.885 0.593 2.921 Na
1.809 -2.467 2.028 Na
-1.374 -2.698 2.134 Tl
0.011 -1.666 4.891 Tl
-2.663 -4.913 4.208 Cd
1.301 0.549 2.817 Cd
0.000 0.000 0.000 In
```

Calculated values
Space group: P-1
Calculated total energy (eV/atom): -1.71
Calculated formation energy (eV per atom): -0.0925


Co3SiPd | GGA-PBE | relaxed

The structure in POSCAR format:
```
Co3SiPd
1.0
4.165 0.000 0.000
0.000 4.165 0.000
0.000 0.000 4.165
Si Co Pd
1 3 1
Cartesian
0.000 0.000 0.000 Si
0.000 2.083 0.000 Co
0.000 0.000 2.083 Co
2.083 0.000 0.000 Co
2.083 2.083 2.083 Pd
```

Calculated values
Space group: Pm-3m
Calculated total energy (eV/atom): -5.78
Uncorrected formation energy (eV per atom): 0.6038
Polymorph energy (0 for the lowest one) (meV/atom): 0


NpGaSn2 | GGA-PBE | relaxed

The structure in POSCAR format:
```
NpGaSn2
1.0
4.607 0.000 0.000
0.000 4.494 0.000
0.000 0.000 4.494
Np Ga Sn
1 1 2
Cartesian
2.304 0.000 0.000 Np
2.304 2.247 2.247 Ga
0.000 0.000 2.247 Sn
0.000 2.247 0.000 Sn
```

Calculated values
Space group: P4/mmm
Calculated total energy (eV/atom): -6.16
Calculated formation energy (eV per atom): -0.1658
Polymorph energy (0 for the lowest one) (meV/atom): 0


HoH3Pd | GGA-PBE | relaxed

The structure in POSCAR format:
```
HoH3Pd
1.0
-1.803 -2.336 -2.257
4.897 -2.343 -1.711
0.904 -4.010 3.261
Ho H Pd
2 6 2
Cartesian
2.934 -5.366 0.264 Ho
-0.323 -4.069 -1.384 Ho
0.715 -5.791 -0.210 H
-0.082 -3.524 0.805 H
2.108 -7.488 0.090 H
-0.534 -1.799 -0.257 H
2.646 -6.059 -1.849 H
1.870 -3.388 -0.643 H
3.571 -2.802 -0.944 Pd
0.283 -5.188 1.363 Pd
```

Calculated values
Space group: P1
Calculated total energy (eV/atom): -4.46


CaAcPr3 | GGA-PBE | relaxed

The structure in POSCAR format:
```
CaAcPr3
1.0
6.104 0.000 0.000
0.000 7.424 0.000
-3.052 0.000 8.730
Ca Ac Pr
2 2 6
Cartesian
3.052 5.568 6.720 Ca
0.000 1.856 2.010 Ca
3.052 5.568 0.186 Ac
0.000 1.856 8.544 Ac
3.052 7.408 3.359 Pr
0.000 0.017 5.372 Pr
0.000 3.695 5.372 Pr
3.052 3.729 3.359 Pr
0.000 5.568 2.267 Pr
3.052 1.856 6.463 Pr
```

Calculated values
Space group: Cmcm
Calculated total energy (eV/atom): -3.96
Calculated formation energy (eV per atom): 0.1296
Polymorph energy (0 for the lowest one) (meV/atom): 32


AsSeN3 | GGA-PBE | relaxed

The structure in POSCAR format:
```
AsSeN3
1.0
3.762 0.000 0.000
0.000 3.762 0.000
0.000 0.000 3.762
As Se N
1 1 3
Cartesian
0.000 0.000 0.000 As
1.881 1.881 1.881 Se
0.000 1.881 0.000 N
0.000 0.000 1.881 N
1.881 0.000 0.000 N
```

Calculated values
Space group: Pm-3m
Calculated total energy (eV/atom): -4.82
Uncorrected formation energy (eV per atom): 1.7999


Al2CdH6 | GGA-PBE | relaxed

The structure in POSCAR format:
```
Al2CdH6
1.0
4.213 0.000 2.432
1.404 3.972 2.432
0.000 0.000 4.864
Al Cd H
2 1 6
Cartesian
4.213 2.979 7.296 Al
1.404 0.993 2.432 Al
0.000 0.000 0.000 Cd
2.216 2.823 5.890 H
3.993 2.823 4.864 H
3.401 1.149 5.890 H
3.401 1.149 3.839 H
1.624 1.149 4.864 H
2.216 2.823 3.839 H
```

Calculated values
Space group: Fm-3m
Calculated total energy (eV/atom): -2.46


BaIrW | GGA-PBE | relaxed

The structure in POSCAR format:
```
BaIrW
1.0
6.844 0.304 -0.299
5.017 4.665 0.299
-5.814 -2.762 2.364
Ir Ba W
1 1 1
Cartesian
3.426 1.435 0.000 Ir
11.830 4.956 0.000 Ba
8.466 3.547 0.000 W
```

Calculated values
Space group: I4mm
Calculated total energy (eV/atom): -7.45
Calculated formation energy (eV per atom): 0.4596
Polymorph energy (0 for the lowest one) (meV/atom): 108


Cr2SiMo | GGA-PBE | relaxed

The structure in POSCAR format:
```
Cr2SiMo
1.0
-2.535 0.657 1.274
-0.939 -2.716 -0.467
2.242 -1.693 5.335
Cr Mo Si
2 1 1
Cartesian
0.015 -0.011 0.036 Cr
-1.262 -1.388 1.534 Cr
1.133 -0.856 2.698 Mo
0.002 -2.343 4.541 Si
```

Calculated values
Space group: P4mm
Calculated total energy (eV/atom): -8.94
Uncorrected formation energy (eV per atom): -0.0616